Here is crystalline Er2BeFe2Co5 at its relaxed geometry from the Alexandria database. Energies are from PBE.

abc: 9.3241 9.3241 3.1854
angles: 90.00 90.00 90.00
With the nearest neighbours (Å) after each atom.
Sites, in units of the cell vectors:
Er  0.1732  0.3268  0.0000  1 Fe 2.56, 2 Co 2.78
Er  0.3268  0.8268  0.0000  1 Fe 2.56, 2 Co 2.78
Er  0.6732  0.1732  0.0000  1 Fe 2.56, 2 Co 2.78
Er  0.8268  0.6732  0.0000  1 Fe 2.56, 2 Co 2.78
Be  0.0000  0.0000  0.0000  8 Co 2.40
Be  0.5000  0.5000  0.0000  8 Co 2.40
Fe  0.1323  0.6323  0.0000  6 Co 2.36-2.45, 1 Er 2.56
Fe  0.3677  0.1323  0.0000  6 Co 2.36-2.45, 1 Er 2.56
Fe  0.6323  0.8677  0.0000  6 Co 2.36-2.45, 1 Er 2.56
Fe  0.8677  0.3677  0.0000  6 Co 2.36-2.45, 1 Er 2.56
Co  0.0000  0.5000  0.5000  4 Fe 2.36
Co  0.0529  0.8150  0.5000  2 Be 2.40, 2 Fe 2.45, 2 Co 2.54
Co  0.1850  0.0529  0.5000  2 Be 2.40, 2 Fe 2.45, 2 Co 2.54
Co  0.3150  0.5529  0.5000  2 Be 2.40, 2 Fe 2.45, 2 Co 2.54
Co  0.4471  0.3150  0.5000  2 Be 2.40, 2 Fe 2.45, 2 Co 2.54
Co  0.5000  0.0000  0.5000  4 Fe 2.36
Co  0.5529  0.6850  0.5000  2 Be 2.40, 2 Fe 2.45, 2 Co 2.54
Co  0.6850  0.4471  0.5000  2 Be 2.40, 2 Fe 2.45, 2 Co 2.54
Co  0.8150  0.9471  0.5000  2 Be 2.40, 2 Fe 2.45, 2 Co 2.54
Co  0.9471  0.1850  0.5000  2 Be 2.40, 2 Fe 2.45, 2 Co 2.54

Values from the calculation:
total magnetic moment: 10.618 μB/f.u.
theoretical density: 8.993 g cm⁻³
energy: -6.49 eV per atom
space group: No. 127
DFT formation energy: 0.037 eV/atom

Here is crystalline ErBeGa2Co2 at its relaxed geometry from the Alexandria database. Energies are from PBE.

abc: 4.0307 4.0307 5.4042
angles: 90.00 90.00 90.00
With the nearest neighbours (Å) after each atom.
Sites, in units of the cell vectors:
Er  0.0000  0.0000  0.0000  2 Be 2.70
Be  0.0000  0.0000  0.5000  4 Co 2.02
Ga  0.5000  0.5000  0.2390  4 Co 2.46, 1 Ga 2.58
Ga  0.5000  0.5000  0.7610  4 Co 2.46, 1 Ga 2.58
Co  0.0000  0.5000  0.5000  2 Be 2.02
Co  0.5000  0.0000  0.5000  2 Be 2.02

Values from the calculation:
total magnetic moment: 0.550 μB/f.u.
theoretical density: 8.200 g cm⁻³
energy: -5.10 eV per atom
space group: No. 123
DFT formation energy: -0.343 eV/atom

Here is crystalline Er2Be2GaCo5 at its relaxed geometry from the Alexandria database. Energies are from PBE.

abc: 9.0564 9.0564 3.1395
angles: 90.00 90.00 90.00
With the nearest neighbours (Å) after each atom.
Sites, in units of the cell vectors:
Er  0.1788  0.3212  0.0000  3 Be 2.61-2.74, 10 Co 2.78-2.87
Er  0.3212  0.8212  0.0000  3 Be 2.61-2.74, 10 Co 2.78-2.87
Er  0.6788  0.1788  0.0000  3 Be 2.61-2.74, 10 Co 2.78-2.87
Er  0.8212  0.6788  0.0000  3 Be 2.61-2.74, 10 Co 2.78-2.87
Be  0.1176  0.6176  0.0000  6 Co 2.18-2.23
Be  0.3824  0.1176  0.0000  6 Co 2.18-2.23
Be  0.6176  0.8824  0.0000  6 Co 2.18-2.23
Be  0.8824  0.3824  0.0000  6 Co 2.18-2.23
Ga  0.0000  0.0000  0.0000  8 Co 2.58
Ga  0.5000  0.5000  0.0000  8 Co 2.58
Co  0.0000  0.5000  0.5000  4 Be 2.18
Co  0.0645  0.7835  0.5000  2 Be 2.23
Co  0.2165  0.0645  0.5000  2 Be 2.23
Co  0.2835  0.5645  0.5000  2 Be 2.23
Co  0.4355  0.2835  0.5000  2 Be 2.23
Co  0.5000  0.0000  0.5000  4 Be 2.18
Co  0.5645  0.7165  0.5000  2 Be 2.23
Co  0.7165  0.4355  0.5000  2 Be 2.23
Co  0.7835  0.9355  0.5000  2 Be 2.23
Co  0.9355  0.2165  0.5000  2 Be 2.23

Values from the calculation:
total magnetic moment: 0.000 μB/f.u.
theoretical density: 9.247 g cm⁻³
energy: -5.77 eV per atom
space group: No. 127
DFT formation energy: -0.254 eV/atom

Here is crystalline Er2BeCo6Ge at its relaxed geometry from the Alexandria database. Energies are from PBE.

abc: 5.8884 5.8884 5.8884
angles: 60.00 60.00 60.00
With the nearest neighbours (Å) after each atom.
Sites, in units of the cell vectors:
Er  0.2500  0.2500  0.2500  12 Co 2.95
Er  0.7500  0.7500  0.7500  12 Co 2.95
Be  0.0000  0.0000  0.0000  6 Co 1.95
Co  0.2345  0.2345  0.7655  1 Be 1.95
Co  0.2345  0.7655  0.2345  1 Be 1.95
Co  0.2345  0.7655  0.7655  1 Be 1.95
Co  0.7655  0.2345  0.2345  1 Be 1.95
Co  0.7655  0.2345  0.7655  1 Be 1.95
Co  0.7655  0.7655  0.2345  1 Be 1.95
Ge  0.5000  0.5000  0.5000  6 Co 2.21

Values from the calculation:
total magnetic moment: 1.981 μB/f.u.
theoretical density: 8.854 g cm⁻³
energy: -5.98 eV per atom
space group: No. 225
DFT formation energy: 0.034 eV/atom